VASP calculation (PBE-GGA) on crystalline SrDy2PuO8 at its relaxed geometry.

Cell lengths 4.1154, 5.3258, 7.5739 Å; angles 90.00, 90.00, 96.01 degrees
Last column: magnetic moment on the atom in μB.
Fractional positions:
Dy: 0.5000 0.5000 0.7550  -0.01
Dy: 0.5000 0.5000 0.2450  -0.01
O: 0.5655 0.7740 0.0000  -0.06
O: 0.4345 0.2260 0.0000  -0.06
O: 0.0466 0.7578 0.2058  -0.06
O: 0.9533 0.2421 0.2058  -0.06
O: 0.9534 0.2422 0.7942  -0.06
O: 0.5105 0.2802 0.5000  0.32
O: 0.4895 0.7198 0.5000  0.32
O: 0.0467 0.7579 0.7942  -0.06
Sr: 0.0000 0.0000 0.5000  0.00
Pu: 0.0000 0.0000 0.0000  1.18

Total moment = 1.53 Bohr magnetons per cell
DFT total energy = -98.12 eV/cell
Formation energy (no corrections) = -2.769 eV per atom


VASP calculation (PBE-GGA) on crystalline TbAl6Ru at its relaxed geometry.

Cell lengths 5.8278, 5.8278, 6.8132 Å; angles 64.68, 64.68, 60.00 degrees
Fractional positions:
Al: 0.9158 0.9158 0.7261
Al: 0.0842 0.0842 0.2739
Al: 0.5576 0.0842 0.2739
Al: 0.4424 0.9158 0.7261
Al: 0.9158 0.4424 0.7261
Al: 0.0842 0.5576 0.2739
Tb: 0.5000 0.5000 0.5000
Ru: 0.0000 0.0000 0.0000

Total moment = 0.00 Bohr magnetons per cell
ΔH_f (0 K) = -0.022 eV/atom
DFT total energy = -36.54 eV/cell


VASP calculation (PBE-GGA) on crystalline HgPdPb3 at its relaxed geometry.

Cell lengths 7.0681, 8.4645, 9.3604 Å; angles 106.33, 90.00, 90.00 degrees
Fractional positions:
Hg: 0.1624 0.4948 0.1193
Hg: 0.8376 0.5052 0.8807
Hg: 0.3376 0.9948 0.6193
Hg: 0.6624 0.0052 0.3807
Pb: 0.5071 0.7264 0.0636
Pb: 0.0052 0.8527 0.1016
Pb: 0.6853 0.8487 0.7641
Pb: 0.4948 0.3527 0.6016
Pb: 0.1853 0.6513 0.7359
Pb: 0.0071 0.7736 0.4364
Pb: 0.9929 0.2264 0.5636
Pb: 0.4929 0.2736 0.9364
Pb: 0.9948 0.1473 0.8984
Pb: 0.8147 0.3487 0.2641
Pb: 0.3147 0.1513 0.2359
Pb: 0.5052 0.6473 0.3984
Pd: 0.6792 0.0475 0.0789
Pd: 0.8208 0.5475 0.5789
Pd: 0.3208 0.9525 0.9211
Pd: 0.1792 0.4525 0.4211

Total moment = 0.00 Bohr magnetons per cell
ΔH_f (0 K) = -0.087 eV/atom
DFT total energy = -68.22 eV/cell


VASP calculation (PBE-GGA) on crystalline BaS3I at its relaxed geometry.

Cell lengths 5.1364, 6.3783, 11.2395 Å; angles 91.27, 90.00, 90.00 degrees
Last column: magnetic moment on the atom in μB.
Fractional positions:
I: 0.2500 0.2489 0.9666  0.02
I: 0.7500 0.7511 0.0334  0.02
S: 0.2500 0.9700 0.2567  0.15
S: 0.7500 0.0300 0.7433  0.15
S: 0.7500 0.5291 0.6558  0.14
S: 0.2500 0.7761 0.3944  0.27
S: 0.7500 0.2239 0.6056  0.27
S: 0.2500 0.4709 0.3442  0.14
Ba: 0.7500 0.2704 0.1842  0.03
Ba: 0.2500 0.7296 0.8158  0.03

Total moment = 2.05 Bohr magnetons per cell
DFT total energy = -39.94 eV/cell
Formation energy (no corrections) = -0.823 eV per atom


VASP calculation (PBE-GGA) on crystalline CdOsPb3 at its relaxed geometry.

Cell lengths 5.3271, 5.3271, 5.3271 Å; angles 90.00, 90.00, 90.00 degrees
Fractional positions:
Pb: 0.0000 0.0000 0.5000
Pb: 0.0000 0.5000 0.0000
Pb: 0.5000 0.0000 0.0000
Cd: 0.5000 0.5000 0.5000
Os: 0.0000 0.0000 0.0000

Total moment = 0.00 Bohr magnetons per cell
ΔH_f (0 K) = 0.491 eV/atom
DFT total energy = -20.82 eV/cell


VASP calculation (PBE-GGA) on crystalline Sr6In2HN at its relaxed geometry.

Cell lengths 7.5979, 7.5979, 7.5375 Å; angles 120.24, 120.24, 90.01 degrees
Fractional positions:
In: 0.7498 0.2504 0.4997
In: 0.2499 0.7503 0.4997
Sr: 0.2391 0.2395 0.9994
Sr: 0.2392 0.7610 0.9998
Sr: 0.7606 0.2398 0.9997
Sr: 0.7584 0.7589 0.5171
Sr: 0.2414 0.2419 0.4824
Sr: 0.7607 0.7613 0.0002
N: 0.9999 0.0004 0.9998
H: 0.5000 0.5005 0.0000

Total moment = 0.00 Bohr magnetons per cell
DFT total energy = -32.00 eV/cell